Below is a relaxed BaLaGa crystal, with properties calculated at the GGA-PBE level.

Lattice parameters (Å, degrees): 3.9369 6.8999 8.5548 78.91 76.73 73.51
Atoms (fractional coordinates):
Ba1 0.0000 0.0000 0.0000
Ba2 0.3295 0.5304 0.8072
La1 0.1871 0.2319 0.3941
La2 0.9250 0.7371 0.4057
Ga1 0.6496 0.5404 0.1569
Ga2 0.6569 0.0189 0.6666

Magnetization = 0.000 μB/cell
Energy of formation from the pure elements = -0.210 eV/atom
Energy relative to the lowest polymorph listed for this composition = 0.131 eV per atom
Space group = P1
Energy = -3.5021 eV/atom

=====

Below is a relaxed BaLaGa crystal, with properties calculated at the GGA-PBE level.

Lattice parameters (Å, degrees): 5.2104 5.2089 8.1586 90.00 90.09 90.00
Atoms (fractional coordinates):
Ba1 0.2491 0.2500 0.1271
Ba2 0.7509 0.7500 0.8729
La1 0.2503 0.7500 0.4999
La2 0.7497 0.2500 0.5001
Ga1 0.2503 0.2500 0.7199
Ga2 0.7497 0.7500 0.2801

Magnetization = 0.000 μB/cell
Energy of formation from the pure elements = -0.339 eV/atom
Energy relative to the lowest polymorph listed for this composition = 0.002 eV per atom
Space group = P2_1/m
Energy = -3.6314 eV/atom

=====

Below is a relaxed BaLaGa crystal, with properties calculated at the GGA-PBE level.

Lattice parameters (Å, degrees): 3.9579 3.9579 14.1159 90.00 90.00 90.00
Atoms (fractional coordinates):
Ba1 0.0000 0.0000 0.0000
Ba2 0.5000 0.5000 0.2645
La1 0.0000 0.0000 0.4941
La2 0.0000 0.0000 0.7376
Ga1 0.5000 0.5000 0.6090
Ga2 0.5000 0.5000 0.8528

Magnetization = 0.000 μB/cell
Energy of formation from the pure elements = -0.293 eV/atom
Energy relative to the lowest polymorph listed for this composition = 0.047 eV per atom
Space group = P4mm
Energy = -3.5858 eV/atom

=====

Below is a relaxed Ba3LaGa crystal, with properties calculated at the GGA-PBE level.

Lattice parameters (Å, degrees): 6.3685 6.3685 6.3685 90.00 90.00 90.00
Atoms (fractional coordinates):
Ba1 0.0000 0.0000 0.5000
Ba2 0.0000 0.5000 0.0000
Ba3 0.5000 0.0000 0.0000
La1 0.5000 0.5000 0.5000
Ga1 0.0000 0.0000 0.0000

Magnetization = 0.003 μB/cell
Energy of formation from the pure elements = 0.209 eV/atom
Energy relative to the lowest polymorph listed for this composition = 0.000 eV per atom
Space group = Pm-3m
Energy = -2.5351 eV/atom